Here is Tl2SeBr after structural relaxation from Alexandria. Energies are from PBE.

Geometry as POSCAR:
```
Tl2SeBr
1.0
15.701 0.000 0.000
0.000 4.133 0.000
-0.002 0.000 4.181
Tl Se Br
4 2 2
Direct
0.000 0.000 0.000
0.218 0.000 0.499
0.500 0.500 0.000
0.718 0.500 0.499
0.030 0.500 0.500
0.530 0.000 0.500
0.307 0.500 0.999
0.807 0.000 0.999
```

Output
As for the space group: Cm (8). For the total DFT energy (no corrections), the calculation gives -2.959 eV per atom. The calculation puts the offset from the most stable computed form at 0.0 meV per atom. The value obtained for the magnetization is 0.00 μB per formula unit. The calculation puts the uncorrected formation energy at -486 meV per atom.